1.
This record from the Alexandria database describes ZnTcAs2Se after structural relaxation. The functional is PBE-GGA.

POSCAR file:
```
ZnTcAs2Se
1.0
4.752 0.000 0.000
0.000 4.752 0.000
0.000 0.000 4.921
Zn Tc As Se
1 1 2 1
direct
0.000 0.000 0.000 Zn
0.500 0.500 0.500 Tc
0.500 0.000 0.000 As
0.000 0.500 0.000 As
0.000 0.000 0.500 Se
```

Computed properties:
**SG**: No. 123
**Energy relative to the lowest polymorph listed for this composition**: 3.303 eV/f.u.
**E**: -3.76 eV/atom
**Crystal system**: tetragonal
**Raw formation energy**: 1.126 eV/atom

2.
This record from the Alexandria database describes K17Cd11Sn after structural relaxation. The functional is PBE-GGA.

POSCAR file:
```
K17Cd11Sn
1.0
-0.703 9.610 -6.474
9.839 -5.672 -2.406
-8.746 -6.698 -2.500
K Cd Sn
17 11 1
direct
0.292 0.582 0.996 K
0.414 0.414 0.717 K
0.403 0.684 0.402 K
0.722 0.306 0.717 K
0.996 0.581 0.316 K
0.581 0.996 0.316 K
0.673 0.673 0.255 K
0.306 0.722 0.717 K
0.327 0.006 0.008 K
0.006 0.327 0.008 K
0.325 0.999 0.568 K
0.997 0.997 0.361 K
0.684 0.403 0.402 K
0.582 0.292 0.996 K
0.005 0.005 0.011 K
0.999 0.325 0.568 K
0.687 0.687 0.681 K
0.835 0.004 0.650 Cd
0.158 0.816 0.165 Cd
0.661 0.829 0.005 Cd
0.829 0.661 0.005 Cd
0.334 0.171 0.341 Cd
0.816 0.158 0.165 Cd
0.171 0.334 0.341 Cd
0.004 0.835 0.650 Cd
0.006 0.671 0.826 Cd
0.671 0.006 0.826 Cd
0.171 0.171 0.829 Cd
0.345 0.345 0.157 Sn
```

Computed properties:
**SG**: No. 8
**E**: -1.15 eV/atom
**Crystal system**: monoclinic
**E_form**: -0.022 eV/atom

3.
This record from the Alexandria database describes ScZnCo after structural relaxation. The functional is PBE-GGA.

POSCAR file:
```
ScZnCo
1.0
4.200 0.000 0.000
-2.100 3.637 0.000
0.000 0.000 3.071
Co Zn Sc
1 1 1
direct
0.000 0.000 0.834 Co
0.333 0.667 0.833 Zn
0.667 0.333 0.333 Sc
```

Computed properties:
**SG**: No. 187
**E**: -5.11 eV/atom
**Crystal system**: hexagonal
**E_form**: -0.202 eV/atom

4.
This record from the Alexandria database describes K3Ce2MnS6 after structural relaxation. The functional is PBE-GGA.

POSCAR file:
```
K3Ce2MnS6
1.0
-2.921 -1.340 6.262
1.640 -5.304 -4.326
7.097 1.809 2.380
S K Mn Ce
6 3 1 2
direct
0.933 0.610 0.800 S
0.743 0.743 0.199 S
0.610 0.933 0.800 S
0.067 0.390 0.200 S
0.257 0.257 0.801 S
0.390 0.067 0.200 S
0.834 0.166 0.500 K
0.500 0.500 0.500 K
0.166 0.834 0.500 K
0.000 0.000 0.000 Mn
0.333 0.667 0.000 Ce
0.667 0.333 0.000 Ce
```

Computed properties:
**SG**: No. 12
**E**: -5.57 eV/atom
**Crystal system**: monoclinic
**Raw formation energy**: -1.484 eV/atom

5.
This record from the Alexandria database describes TcPb2Br after structural relaxation. The functional is PBE-GGA.

POSCAR file:
```
TcPb2Br
1.0
5.218 0.000 0.000
0.000 3.325 0.061
0.000 2.309 5.768
Br Pb Tc
1 2 1
direct
0.500 0.532 0.858 Br
0.000 0.029 0.884 Pb
0.500 0.287 0.368 Pb
0.000 0.652 0.390 Tc
```

Computed properties:
**SG**: No. 6
**Energy relative to the lowest polymorph listed for this composition**: 0.597 eV/f.u.
**E**: -4.43 eV/atom
**Crystal system**: monoclinic
**Raw formation energy**: 0.437 eV/atom

6.
This record from the Alexandria database describes KBaBe2Fe after structural relaxation. The functional is PBE-GGA.

POSCAR file:
```
KBaBe2Fe
1.0
-1.375 -3.802 -2.105
2.814 1.293 -4.173
3.577 -2.244 1.716
Ba Be K Fe
1 2 1 1
direct
0.500 0.500 0.500 Ba
0.500 0.000 0.000 Be
0.000 0.000 0.500 Be
0.000 0.500 0.000 K
0.000 0.000 0.000 Fe
```

Computed properties:
**SG**: No. 123
**E**: -2.91 eV/atom
**Crystal system**: tetragonal
**E_form**: 0.872 eV/atom

7.
This record from the Alexandria database describes CsScCd3 after structural relaxation. The functional is PBE-GGA.

POSCAR file:
```
CsScCd3
1.0
6.473 0.000 0.000
0.000 6.473 0.000
0.000 0.000 6.473
Cs Cd Sc
1 3 1
direct
0.000 0.000 0.000 Cs
0.500 0.000 0.000 Cd
0.000 0.000 0.500 Cd
0.000 0.500 0.000 Cd
0.500 0.500 0.500 Sc
```

Computed properties:
**SG**: No. 221
**Energy relative to the lowest polymorph listed for this composition**: 4.140 eV/f.u.
**E**: -0.91 eV/atom
**Crystal system**: cubic
**E_form**: 1.075 eV/atom

8.
This record from the Alexandria database describes Ga2Cu3Ni after structural relaxation. The functional is PBE-GGA.

POSCAR file:
```
Ga2Cu3Ni
1.0
3.540 0.000 -0.792
-0.533 7.862 -2.381
-0.535 -0.859 5.921
Ga Cu Ni
4 6 2
direct
0.790 0.139 0.580 Ga
0.519 0.856 0.038 Ga
0.481 0.144 0.962 Ga
0.210 0.861 0.420 Ga
0.624 0.621 0.247 Cu
0.713 0.381 0.426 Cu
0.376 0.379 0.753 Cu
0.955 0.622 0.910 Cu
0.045 0.378 0.090 Cu
0.287 0.619 0.574 Cu
0.127 0.103 0.253 Ni
0.873 0.897 0.747 Ni
```

Computed properties:
**SG**: No. 12
**Energy relative to the lowest polymorph listed for this composition**: 0.000 eV/f.u.
**E**: -4.15 eV/atom
**Crystal system**: monoclinic
**E_form**: -0.128 eV/atom